Crystalline HfMn2Cr at its relaxed geometry. Source: Alexandria, functional PBE.

a = 4.2380 Å, b = 4.2380 Å, c = 14.9967 Å
α = 90.00°, β = 90.00°, γ = 90.00°
Space group I4_1/amd (No. 141, origin choice 2)
Inequivalent atoms, fractional coordinates:
Hf  0.0000  0.2500  0.3750
Mn  0.0000  0.0000  0.0000
Cr  0.0000  0.2500  0.8750

Results
For the excess energy over the best structure of this formula in the dataset, the calculation gives 0.773 eV/atom. Its crystal system is tetragonal. The density of states at the Fermi level comes out at 17.3 states/eV/cell. The calculated formation energy comes out at 302 kJ/mol of formula units.

***

Crystalline LaPr2Pb3 at its relaxed geometry. Source: Alexandria, functional PBE.

a = 5.1493 Å, b = 15.5352 Å, c = 9.3070 Å
α = 90.00°, β = 90.00°, γ = 90.00°
Space group Cmmm (No. 65)
Inequivalent atoms, fractional coordinates:
La  0.0000  0.1667  0.0000
Pr  0.0000  0.1668  0.5000
Pr  0.0000  0.5000  0.0000
Pr  0.0000  0.5000  0.5000
Pb  0.0000  0.0000  0.2513
Pb  0.0000  0.3341  0.2514

Results
For the excess energy over the best structure of this formula in the dataset, the calculation gives 0.000 eV/atom. Its crystal system is orthorhombic. The density of states at the Fermi level comes out at 24.2 states/eV/cell. The calculated formation energy comes out at -317 kJ/mol of formula units.

***

Crystalline BeFeAu at its relaxed geometry. Source: Alexandria, functional PBE.

a = 6.2631 Å, b = 3.6240 Å, c = 7.4448 Å
α = 90.00°, β = 106.18°, γ = 90.00°
Space group C2/m (No. 12)
Inequivalent atoms, fractional coordinates:
Be  0.0899  0.0000  0.2718
Fe  0.1975  0.0000  0.5901
Au  0.1210  0.5000  0.8625

Results
For the excess energy over the best structure of this formula in the dataset, the calculation gives 0.103 eV/atom. Its crystal system is monoclinic. The density of states at the Fermi level comes out at 5.4 states/eV/cell. The calculated formation energy comes out at 39 kJ/mol of formula units.

***

Crystalline ScPtO at its relaxed geometry. Source: Alexandria, functional PBE.

a = 4.1363 Å, b = 4.1361 Å, c = 9.3028 Å
α = 90.00°, β = 91.32°, γ = 90.00°
Space group C2/m (No. 12)
Inequivalent atoms, fractional coordinates:
Sc  0.2441  0.0000  0.3437
Pt  0.2398  0.0000  0.8944
O  0.2457  0.5000  0.4057

Results
Its crystal system is monoclinic. The density of states at the Fermi level comes out at 4.9 states/eV/cell. As for the formation energy without anion corrections: -2.092 eV/atom.

***

Crystalline SmH6Rh at its relaxed geometry. Source: Alexandria, functional PBE.

a = 4.5016 Å, b = 4.5016 Å, c = 11.5647 Å
α = 90.00°, β = 90.00°, γ = 120.00°
Space group R-3m (No. 166, hexagonal axes)
Inequivalent atoms, fractional coordinates:
Sm  0.0000  0.0000  0.0000
H  0.0212  0.5106  0.9116
Rh  0.0000  0.0000  0.5000

Results
Its crystal system is trigonal.

***

Crystalline CaNdTm2 at its relaxed geometry. Source: Alexandria, functional PBE.

a = 3.5998 Å, b = 3.5998 Å, c = 35.9216 Å
α = 90.00°, β = 90.00°, γ = 120.00°
Space group R3m (No. 160, hexagonal axes)
Inequivalent atoms, fractional coordinates:
Ca  0.0000  0.0000  0.0000
Nd  0.0000  0.0000  0.1656
Tm  0.0000  0.0000  0.5790
Tm  0.0000  0.0000  0.7532

Results
For the excess energy over the best structure of this formula in the dataset, the calculation gives 0.000 eV/atom. Its crystal system is trigonal. The density of states at the Fermi level comes out at 18.9 states/eV/cell. The calculated formation energy comes out at 29 kJ/mol of formula units.

***

Crystalline Zr4SnBi2 at its relaxed geometry. Source: Alexandria, functional PBE.

a = 5.1957 Å, b = 5.1957 Å, c = 15.4137 Å
α = 90.00°, β = 90.00°, γ = 90.00°
Space group I4/mmm (No. 139)
Inequivalent atoms, fractional coordinates:
Zr  0.0000  0.0000  0.1782
Zr  0.0000  0.5000  0.0000
Sn  0.0000  0.0000  0.0000
Bi  0.0000  0.0000  0.3687

Results
For the excess energy over the best structure of this formula in the dataset, the calculation gives 0.692 eV/atom. Its crystal system is tetragonal. The density of states at the Fermi level comes out at 19.4 states/eV/cell. The calculated formation energy comes out at 303 kJ/mol of formula units.

***

Crystalline Cd8CuRh2 at its relaxed geometry. Source: Alexandria, functional PBE.

a = 4.3789 Å, b = 7.7738 Å, c = 12.5818 Å
α = 90.00°, β = 90.00°, γ = 90.00°
Space group Immm (No. 71)
Inequivalent atoms, fractional coordinates:
Cd  0.0000  0.0000  0.1395
Cd  0.0000  0.2150  0.3436
Cd  0.0000  0.3189  0.0000
Cu  0.0000  0.5000  0.5000
Rh  0.0000  0.5000  0.2042

Results
Its crystal system is orthorhombic. The density of states at the Fermi level comes out at 9.3 states/eV/cell. The calculated formation energy comes out at -44 kJ/mol of formula units.

***

Crystalline K3CeDy3Se8 at its relaxed geometry. Source: Alexandria, functional PBE.

a = 8.3862 Å, b = 8.3862 Å, c = 23.3795 Å
α = 90.00°, β = 90.00°, γ = 120.00°
Space group R-3m (No. 166, hexagonal axes)
Inequivalent atoms, fractional coordinates:
K  0.0000  0.5000  0.0000
Ce  0.0000  0.0000  0.5000
Dy  0.0000  0.5000  0.5000
Se  0.0000  0.0000  0.2347
Se  0.0001  0.5001  0.2336

Results
Its crystal system is trigonal. As for the formation energy without anion corrections: -1.736 eV/atom.

***

Crystalline BeAlSb at its relaxed geometry. Source: Alexandria, functional PBE.

a = 4.2114 Å, b = 4.6292 Å, c = 11.0779 Å
α = 90.00°, β = 90.00°, γ = 90.00°
Space group Fmm2 (No. 42)
Inequivalent atoms, fractional coordinates:
Be  0.0000  0.0000  0.0000
Al  0.0000  0.0000  0.3798
Sb  0.0000  0.0000  0.6600

Results
For the excess energy over the best structure of this formula in the dataset, the calculation gives 0.143 eV/atom. Its crystal system is orthorhombic. The density of states at the Fermi level comes out at 3.5 states/eV/cell. As for the formation energy without anion corrections: 0.441 eV/atom.

***

Crystalline RbCd3Hg at its relaxed geometry. Source: Alexandria, functional PBE.

a = 7.3495 Å, b = 7.3495 Å, c = 6.9213 Å
α = 90.00°, β = 90.00°, γ = 120.00°
Space group P6_3/mmc (No. 194)
Inequivalent atoms, fractional coordinates:
Rb  0.3333  0.6667  0.2500
Cd  0.1949  0.3898  0.7500
Hg  0.0000  0.0000  0.0000

Results
For the excess energy over the best structure of this formula in the dataset, the calculation gives 0.088 eV/atom. Its crystal system is hexagonal. The density of states at the Fermi level comes out at 3.9 states/eV/cell. The calculated formation energy comes out at -4 kJ/mol of formula units.

***

Crystalline KPt2 at its relaxed geometry. Source: Alexandria, functional PBE.

a = 3.5783 Å, b = 3.5783 Å, c = 11.5332 Å
α = 90.00°, β = 90.00°, γ = 90.00°
Space group I4/mmm (No. 139)
Inequivalent atoms, fractional coordinates:
K  0.0000  0.0000  0.0000
Pt  0.0000  0.0000  0.2743

Results
Its crystal system is tetragonal. The density of states at the Fermi level comes out at 4.7 states/eV/cell. The calculated formation energy comes out at 1 kJ/mol of formula units.

***

Crystalline CePuRh3 at its relaxed geometry. Source: Alexandria, functional PBE.

a = 5.1068 Å, b = 5.4811 Å, c = 7.0391 Å
α = 90.00°, β = 96.54°, γ = 90.00°
Space group P2_1/m (No. 11)
Inequivalent atoms, fractional coordinates:
Ce  0.2398  0.2500  0.1290
Pu  0.0694  0.2500  0.6368
Rh  0.2312  0.7500  0.7769
Rh  0.3500  0.7500  0.1616
Rh  0.5000  0.0000  0.5000

Results
For the excess energy over the best structure of this formula in the dataset, the calculation gives 0.000 eV/atom. Its crystal system is monoclinic. The density of states at the Fermi level comes out at 23.1 states/eV/cell. The calculated formation energy comes out at -280 kJ/mol of formula units.

***

Crystalline Be2RhBr at its relaxed geometry. Source: Alexandria, functional PBE.

a = 5.3258 Å, b = 5.3258 Å, c = 9.9833 Å
α = 90.00°, β = 90.00°, γ = 90.00°
Space group I-42d (No. 122)
Inequivalent atoms, fractional coordinates:
Be  0.2135  0.2500  0.1250
Rh  0.0000  0.0000  0.0000
Br  0.0000  0.0000  0.5000

Results
For the excess energy over the best structure of this formula in the dataset, the calculation gives 0.441 eV/atom. Its crystal system is tetragonal. The density of states at the Fermi level comes out at 0.0 states/eV/cell. As for the formation energy without anion corrections: 0.256 eV/atom.

***

Crystalline HfZrTiZn at its relaxed geometry. Source: Alexandria, functional PBE.

a = 3.1193 Å, b = 3.1193 Å, c = 7.9576 Å
α = 90.00°, β = 90.00°, γ = 90.00°
Space group P4mm (No. 99)
Inequivalent atoms, fractional coordinates:
Hf  0.0000  0.0000  0.0000
Zr  0.5000  0.5000  0.2892
Ti  0.5000  0.5000  0.7476
Zn  0.0000  0.0000  0.5377

Results
Its crystal system is tetragonal. The density of states at the Fermi level comes out at 3.7 states/eV/cell. The calculated formation energy comes out at -40 kJ/mol of formula units.

***

Crystalline ZrTi3In at its relaxed geometry. Source: Alexandria, functional PBE.

a = 5.0857 Å, b = 14.9217 Å, c = 5.4282 Å
α = 90.00°, β = 90.00°, γ = 90.00°
Space group Cmcm (No. 63)
Inequivalent atoms, fractional coordinates:
Zr  0.0000  0.1836  0.2500
Ti  0.0000  0.0000  0.0000
Ti  0.2414  0.1422  0.7500
In  0.0000  0.4385  0.7500

Results
For the excess energy over the best structure of this formula in the dataset, the calculation gives 0.000 eV/atom. Its crystal system is orthorhombic. The density of states at the Fermi level comes out at 26.2 states/eV/cell. The calculated formation energy comes out at 113 kJ/mol of formula units.

***

Crystalline EuYBi at its relaxed geometry. Source: Alexandria, functional PBE.

a = 5.2540 Å, b = 5.2540 Å, c = 4.3570 Å
α = 90.00°, β = 90.00°, γ = 120.00°
Space group P3m1 (No. 156)
Inequivalent atoms, fractional coordinates:
Eu  0.0000  0.0000  0.0000
Y  0.6667  0.3333  0.4819
Bi  0.3333  0.6667  0.5805

Results
Its crystal system is trigonal. The density of states at the Fermi level comes out at 2.7 states/eV/cell. The calculated formation energy comes out at -111 kJ/mol of formula units.

***

Crystalline BaRhO2 at its relaxed geometry. Source: Alexandria, functional PBE.

a = 4.9155 Å, b = 4.9155 Å, c = 12.0749 Å
α = 90.00°, β = 90.00°, γ = 90.00°
Space group I-42d (No. 122)
Inequivalent atoms, fractional coordinates:
Ba  0.0000  0.0000  0.0000
Rh  0.0000  0.0000  0.5000
O  0.1407  0.2500  0.6250

Results
Its crystal system is tetragonal. The density of states at the Fermi level comes out at 17.8 states/eV/cell. As for the formation energy without anion corrections: -1.179 eV/atom.

***

no.,DFT total energy (eV per atom)
1,-8.696
2,-4.817
3,-5.021
4,-7.869
5,-4.431
6,-3.853
7,-6.117
8,-2.416
9,-5.130
10,-3.423
11,-0.811
12,-4.388
13,-9.045
14,-3.863
15,-7.021
16,-6.760
17,-7.258
18,-5.977